First-principles (PBE-GGA) data for a relaxed structure of Rb2InAgBr6, as listed in Alexandria via LeMat-Bulk.

```
Rb2InAgBr6
1.0
-1.878 7.336 -1.520
-6.757 -0.921 3.904
4.972 3.268 9.377
Rb Br In Ag
4 12 2 2
direct
0.985 0.055 0.750 Rb
0.485 0.445 0.250 Rb
0.015 0.945 0.250 Rb
0.515 0.555 0.750 Rb
0.799 0.787 0.971 Br
0.437 0.999 0.742 Br
0.563 0.001 0.258 Br
0.701 0.287 0.529 Br
0.715 0.298 0.966 Br
0.063 0.499 0.758 Br
0.215 0.202 0.466 Br
0.201 0.213 0.029 Br
0.937 0.501 0.242 Br
0.285 0.702 0.034 Br
0.785 0.798 0.534 Br
0.299 0.713 0.471 Br
0.000 0.500 0.000 In
0.500 0.000 0.500 In
0.500 0.000 0.000 Ag
0.000 0.500 0.500 Ag
```

Results
Space-group type: No. 14
Formation energy without anion corrections, eV/atom: -1.112
Energy above the most stable polymorph in this dataset, meV per atom: 0

First-principles (PBE-GGA) data for a relaxed structure of Li2Br, as listed in Alexandria via LeMat-Bulk.

```
Li2Br
1.0
-0.733 4.469 -1.808
-0.339 -3.895 -2.914
-3.321 -0.252 0.723
Br Li
1 2
direct
0.000 0.000 0.000 Br
0.333 0.667 0.500 Li
0.667 0.333 0.500 Li
```

Results
Space-group type: No. 191
Formation energy without anion corrections, eV/atom: -0.398

First-principles (PBE-GGA) data for a relaxed structure of Dy8C3Se4O, as listed in Alexandria via LeMat-Bulk.

```
Dy8C3Se4O
1.0
-5.334 -4.795 -2.129
2.127 -4.907 5.721
-1.798 7.034 1.809
O Dy C Se
1 8 3 4
direct
0.000 0.500 0.000 O
0.238 0.703 0.966 Dy
0.762 0.297 0.034 Dy
0.238 0.704 0.476 Dy
0.728 0.703 0.966 Dy
0.762 0.296 0.524 Dy
0.265 0.294 0.529 Dy
0.272 0.297 0.034 Dy
0.735 0.706 0.471 Dy
0.000 0.500 0.500 C
0.500 0.500 0.500 C
0.500 0.500 0.000 C
0.000 0.000 0.000 Se
0.000 0.000 0.500 Se
0.500 0.000 0.000 Se
0.500 0.000 0.500 Se
```

Results
Space-group type: No. 166
Formation energy without anion corrections, eV/atom: -1.468

First-principles (PBE-GGA) data for a relaxed structure of NdPuIN2, as listed in Alexandria via LeMat-Bulk.

```
NdPuIN2
1.0
-0.020 4.173 -0.058
-5.832 0.037 4.591
6.505 0.096 4.643
N Nd I Pu
4 2 2 2
direct
0.750 0.527 0.398 N
0.750 0.503 0.860 N
0.250 0.473 0.602 N
0.250 0.497 0.140 N
0.750 0.346 0.082 Nd
0.250 0.654 0.918 Nd
0.250 0.037 0.758 I
0.750 0.963 0.242 I
0.750 0.362 0.589 Pu
0.250 0.638 0.411 Pu
```

Results
Space-group type: No. 11
Formation energy without anion corrections, eV/atom: -1.338

First-principles (PBE-GGA) data for a relaxed structure of Nd3PaSe4, as listed in Alexandria via LeMat-Bulk.

```
Nd3PaSe4
1.0
-0.864 -1.716 3.688
-6.582 -1.909 -2.429
4.696 -5.372 -1.400
Se Nd Pa
4 3 1
direct
0.000 0.243 0.243 Se
0.500 0.754 0.246 Se
0.000 0.757 0.757 Se
0.500 0.246 0.754 Se
0.000 0.000 0.500 Nd
0.000 0.500 0.000 Nd
0.500 0.500 0.500 Nd
0.500 0.000 0.000 Pa
```

Results
Space-group type: No. 65
Formation energy without anion corrections, eV/atom: -1.658

First-principles (PBE-GGA) data for a relaxed structure of AcPuMgPb, as listed in Alexandria via LeMat-Bulk.

```
AcPuMgPb
1.0
5.655 0.000 0.000
2.827 4.897 0.000
2.827 1.632 4.617
Pb Ac Mg Pu
1 1 1 1
direct
0.000 0.000 0.000 Pb
0.250 0.250 0.250 Ac
0.500 0.500 0.500 Mg
0.750 0.750 0.750 Pu
```

Results
Space-group type: No. 216
ΔE_f, meV per atom: -85

First-principles (PBE-GGA) data for a relaxed structure of MnCo2HOs, as listed in Alexandria via LeMat-Bulk.

```
MnCo2HOs
1.0
-1.081 2.616 -2.235
-1.376 -2.476 -2.232
-3.253 0.190 1.795
Co Os Mn H
2 1 1 1
direct
0.000 0.500 0.000 Co
0.500 0.000 0.000 Co
0.500 0.500 0.500 Os
0.000 0.000 0.500 Mn
0.000 0.000 0.000 H
```

Results
Space-group type: No. 123
Energy above the most stable polymorph in this dataset, meV per atom: 0

First-principles (PBE-GGA) data for a relaxed structure of Y3TmSb2C, as listed in Alexandria via LeMat-Bulk.

```
Y3TmSb2C
1.0
4.725 0.000 0.000
0.000 4.783 0.000
-2.363 -2.391 7.892
Tm Y C Sb
1 3 1 2
direct
0.500 0.000 0.000 Tm
0.159 0.159 0.317 Y
0.841 0.841 0.683 Y
0.000 0.500 0.000 Y
0.000 0.000 0.000 C
0.358 0.358 0.717 Sb
0.642 0.642 0.283 Sb
```

Results
Space-group type: No. 71
Formation energy without anion corrections, eV/atom: -0.815

First-principles (PBE-GGA) data for a relaxed structure of Y2Hg3Pd2, as listed in Alexandria via LeMat-Bulk.

```
Y2Hg3Pd2
1.0
-0.744 3.723 -1.235
-4.008 -3.498 -1.678
-3.382 1.544 6.690
Hg Pd Y
3 2 2
direct
0.000 0.000 0.000 Hg
0.299 0.599 0.143 Hg
0.701 0.401 0.857 Hg
0.096 0.191 0.630 Pd
0.904 0.809 0.370 Pd
0.382 0.764 0.657 Y
0.618 0.236 0.343 Y
```

Results
Space-group type: No. 12
Energy above the most stable polymorph in this dataset, meV per atom: 29
ΔE_f, meV per atom: -552

First-principles (PBE-GGA) data for a relaxed structure of LiPdRu2O, as listed in Alexandria via LeMat-Bulk.

```
LiPdRu2O
1.0
4.824 0.000 0.000
0.000 4.491 0.000
0.000 0.000 4.824
Li Ru O Pd
1 2 1 1
direct
0.000 0.500 0.000 Li
0.500 0.000 0.000 Ru
0.000 0.000 0.500 Ru
0.500 0.500 0.500 O
0.000 0.000 0.000 Pd
```

Results
Space-group type: No. 123
Formation energy without anion corrections, eV/atom: 1.711

First-principles (PBE-GGA) data for a relaxed structure of Mn2IrPb, as listed in Alexandria via LeMat-Bulk.

```
Mn2IrPb
1.0
-1.723 3.244 1.485
-3.667 -1.487 -1.007
-0.267 -1.813 3.649
Mn Pb Ir
2 1 1
direct
0.000 0.500 0.500 Mn
0.000 0.000 0.000 Mn
0.500 0.500 0.000 Pb
0.500 0.000 0.500 Ir
```

Results
Space-group type: No. 123
ΔE_f, meV per atom: 279

First-principles (PBE-GGA) data for a relaxed structure of Pm4Tl2CdHg, as listed in Alexandria via LeMat-Bulk.

```
Pm4Tl2CdHg
1.0
-2.121 -4.579 -2.072
1.107 -1.434 -5.146
6.767 -6.561 0.393
Pm Cd Tl Hg
4 1 2 1
direct
0.127 0.127 0.620 Pm
0.377 0.377 0.870 Pm
0.873 0.873 0.380 Pm
0.623 0.623 0.130 Pm
0.000 0.000 0.000 Cd
0.252 0.252 0.243 Tl
0.748 0.748 0.757 Tl
0.500 0.500 0.500 Hg
```

Results
Space-group type: No. 166
ΔE_f, meV per atom: -400